{
  "formula": "AgTe2I2",
  "functional": "GGA-PBE",
  "state": "relaxed",
  "cell": [[-6.075, 3.214, 3.201], [-4.503, -3.633, -4.899], [-0.435, -4.672, 3.864]],
  "species": ["Ag", "I", "Te", "Te", "I", "I", "Ag", "Te", "Te", "I"],
  "fractional_positions": [[0.000, 0.000, 0.000], [0.328, 0.828, 0.500], [0.648, 0.148, 0.000], [0.352, 0.852, 0.000], [0.672, 0.172, 0.500], [0.172, 0.328, 0.500], [0.500, 0.500, 0.000], [0.852, 0.648, 0.000], [0.148, 0.352, 0.000], [0.828, 0.672, 0.500]],
  "magnetic_moment_mub_per_atom": 0.0000,
  "formation_energy_uncorrected_ev_per_atom": 0.05,
  "dos_ef_per_ev_cell": 4.41
}

{
  "formula": "TaTi2Mo6",
  "functional": "GGA-PBE",
  "state": "relaxed",
  "cell": [[4.397, -0.001, 0.001], [0.001, 5.921, 1.949], [-0.001, 0.358, 6.223]],
  "species": ["Ta", "Mo", "Ti", "Mo", "Ti", "Mo", "Mo", "Mo", "Mo"],
  "fractional_positions": [[0.000, 0.000, 0.000], [0.500, 0.751, 0.249], [0.500, 0.231, 0.231], [0.500, 0.249, 0.751], [0.500, 0.769, 0.769], [0.000, 0.185, 0.532], [0.000, 0.532, 0.185], [0.000, 0.468, 0.815], [0.000, 0.815, 0.468]],
  "magnetic_moment_mub_per_atom": 0.0000,
  "dos_ef_per_ev_cell": 8.38,
  "e_form_mev_per_atom": 428
}

{
  "formula": "Ac2PrNd",
  "functional": "GGA-PBE",
  "state": "relaxed",
  "cell": [[-1.862, 3.257, -0.970], [-0.402, 0.964, -3.731], [-11.438, -4.840, -2.032]],
  "species": ["Nd", "Ac", "Pr", "Ac"],
  "fractional_positions": [[0.499, 0.499, 0.502], [0.249, 0.249, 0.252], [0.668, 0.668, 0.997], [0.084, 0.084, 0.749]],
  "magnetic_moment_mub_per_atom": 0.0000,
  "dos_ef_per_ev_cell": 6.38,
  "e_form_mev_per_atom": 30
}

{
  "formula": "SiHgN3",
  "functional": "GGA-PBE",
  "state": "relaxed",
  "cell": [[-2.029, 2.354, 2.051], [-3.073, -1.939, -0.814], [0.553, -2.136, 3.000]],
  "species": ["Si", "Hg", "N", "N", "N"],
  "fractional_positions": [[0.000, 0.000, 0.000], [0.500, 0.500, 0.500], [0.000, 0.000, 0.500], [0.000, 0.500, 0.000], [0.500, 0.000, 0.000]],
  "magnetic_moment_mub_per_atom": 0.5208,
  "formation_energy_uncorrected_ev_per_atom": 1.06,
  "dos_ef_per_ev_cell": 2.16
}